[1]
# CsK6Rb2

A relaxed CsK6Rb2 crystal (GGA-PBE, Alexandria via LeMat-Bulk).

Cell and atoms, written as POSCAR:
```
CsK6Rb2
1.0
-0.387 3.706 -2.849
-8.941 -6.655 -7.441
-4.094 7.362 10.404
Cs K Rb
1 6 2
Cartesian
0.000 0.000 0.000
-8.797 2.063 0.725
-11.810 -0.180 -1.783
-1.613 4.593 1.897
-10.232 4.791 4.033
-4.626 2.351 -0.610
-7.285 6.984 6.485
-7.291 -1.992 -1.525
-6.132 6.406 1.639
```

Calculated values
Its space group is C2/m. The value obtained for the formation energy is 0.01 eV per atom.

***

[2]
# EuScPd2

A relaxed EuScPd2 crystal (GGA-PBE, Alexandria via LeMat-Bulk).

Cell and atoms, written as POSCAR:
```
EuScPd2
1.0
-3.418 0.032 -0.243
0.252 -2.951 -3.927
-0.246 -3.935 2.941
Sc Pd Eu
1 2 1
Cartesian
-1.709 0.016 -0.122
-0.123 -1.968 1.471
0.126 -1.476 -1.964
-1.706 -3.427 -0.615
```

Calculated values
Its space group is P4/mmm. The value obtained for the formation energy is -0.68 eV per atom.

***

[3]
# TbTlIrO6

A relaxed TbTlIrO6 crystal (GGA-PBE, Alexandria via LeMat-Bulk).

Cell and atoms, written as POSCAR:
```
TbTlIrO6
1.0
5.607 0.000 0.000
-2.804 4.856 0.000
0.000 0.000 9.163
O Tl Tb Ir
12 2 2 2
Cartesian
-0.842 1.860 5.775
1.613 3.197 5.775
0.842 1.860 7.970
1.190 1.659 3.388
3.576 0.201 3.388
2.032 0.201 1.193
-1.613 3.197 7.970
4.417 1.659 1.193
1.962 2.996 1.193
3.645 2.996 3.388
0.772 4.655 7.970
-0.772 4.655 5.775
0.000 0.000 0.000
0.000 0.000 4.582
0.000 3.237 2.291
2.804 1.619 6.872
0.000 3.237 6.872
2.804 1.619 2.291
```

Calculated values
Its space group is P-31c. The total energy comes out at -6.417 eV/atom.

***

[4]
# Fe3P

A relaxed Fe3P crystal (GGA-PBE, Alexandria via LeMat-Bulk).

Cell and atoms, written as POSCAR:
```
Fe3P
1.0
2.570 3.929 1.536
-4.536 0.591 -1.866
-1.613 -0.424 3.786
Fe P
6 2
Cartesian
-4.546 0.836 1.547
-3.277 2.776 2.305
0.968 3.260 1.908
-0.301 1.320 1.150
-1.271 3.552 0.987
-2.307 0.544 2.469
-2.570 1.598 0.214
-1.008 2.498 3.241
```

Calculated values
As for the excess energy over the best structure of this formula in the dataset: 0.220 eV/atom. Its space group is P6_3/mmc. The value obtained for the formation energy is -0.14 eV per atom.

***

[5]
# NbFeSi

A relaxed NbFeSi crystal (GGA-PBE, Alexandria via LeMat-Bulk).

Cell and atoms, written as POSCAR:
```
NbFeSi
1.0
-3.158 -2.788 -2.277
3.607 -3.204 -1.078
-1.223 -3.311 5.749
Si Nb Fe
4 4 4
Cartesian
-0.805 -3.981 3.473
0.998 -5.584 2.934
-1.772 -3.720 -0.541
0.031 -5.322 -1.079
-1.636 -6.593 2.788
-3.131 -4.158 1.880
0.862 -2.710 -0.395
2.358 -5.146 0.513
-0.387 -4.652 1.197
1.192 -3.258 2.335
0.000 0.000 0.000
-1.579 -1.394 -1.139
```

Calculated values
Its space group is Imma. The total energy comes out at -8.565 eV/atom.

***

[6]
# AlP2Pt

A relaxed AlP2Pt crystal (GGA-PBE, Alexandria via LeMat-Bulk).

Cell and atoms, written as POSCAR:
```
AlP2Pt
1.0
-3.222 1.816 -2.798
0.848 -2.020 -4.088
-0.607 -2.032 4.125
P Pt Al
2 1 1
Cartesian
-0.473 -2.077 -1.703
0.000 0.000 0.000
-1.187 -0.102 -3.443
-2.508 -0.158 -1.058
```

Calculated values
Its space group is I-4m2. The value obtained for the formation energy is 0.09 eV per atom.

***

Which formula does entry 6 have? AlP2Pt